(1)
VASP calculation (PBE) on Hf2Se3S after structural relaxation. Values from VASP.

## Properties
Total DFT energy (no corrections): -7.157 eV per atom

The structure in Quantum ESPRESSO input format:
```
&SYSTEM
  ibrav = 0, nat = 12, ntyp = 3
/
ATOMIC_SPECIES
Hf 178.49 Hf.upf
S 32.06 S.upf
Se 78.96 Se.upf
ATOMIC_POSITIONS angstrom
Hf 0.154 -0.001 0.182
Hf 1.159 -2.311 2.901
Hf 3.658 1.435 8.591
Hf 2.656 3.787 5.907
S 1.782 0.043 2.150
S 2.217 3.537 8.405
Se 2.825 -2.151 4.997
Se 4.083 1.508 5.948
Se 0.468 2.285 5.418
Se 1.201 6.039 5.813
Se 0.414 7.753 9.323
Se 4.031 6.999 9.873
CELL_PARAMETERS angstrom
-2.589 -1.582 2.178
4.638 -3.109 3.255
0.901 10.283 8.538
```

---

(2)
VASP calculation (PBE) on LuAlCuHg after structural relaxation. Values from VASP.

## Properties
ΔE to the lowest computed polymorph: 0.0 kJ/mol of atoms

The structure in Quantum ESPRESSO input format:
```
&SYSTEM
  ibrav = 0, nat = 4, ntyp = 4
/
ATOMIC_SPECIES
Al 26.98 Al.upf
Cu 63.55 Cu.upf
Hg 200.59 Hg.upf
Lu 174.97 Lu.upf
ATOMIC_POSITIONS angstrom
Al 0.000 0.000 0.000
Cu 5.020 5.020 5.020
Hg 1.673 1.673 1.673
Lu 3.347 3.347 3.347
CELL_PARAMETERS angstrom
0.000 3.347 3.347
3.347 0.000 3.347
3.347 3.347 0.000
```

---

(3)
VASP calculation (PBE) on LiGa2FePd4 after structural relaxation. Values from VASP.

## Properties
Total DFT energy (no corrections): -5.153 eV per atom

The structure in Quantum ESPRESSO input format:
```
&SYSTEM
  ibrav = 0, nat = 8, ntyp = 4
/
ATOMIC_SPECIES
Fe 55.84 Fe.upf
Ga 69.72 Ga.upf
Li 6.94 Li.upf
Pd 106.42 Pd.upf
ATOMIC_POSITIONS angstrom
Fe 0.000 0.000 0.000
Ga -2.282 1.922 -0.991
Ga 1.308 2.218 1.291
Li -0.974 4.140 0.301
Pd 0.318 2.345 -1.172
Pd -1.307 1.771 1.458
Pd 1.640 4.587 0.134
Pd 0.016 4.014 2.764
CELL_PARAMETERS angstrom
-0.657 2.496 -3.621
-3.907 1.349 1.639
2.616 4.436 2.583
```

---

(4)
VASP calculation (PBE) on PmUCu after structural relaxation. Values from VASP.

## Properties
Energy relative to the elements: 0.38 eV/atom
ΔE to the lowest computed polymorph: 0.0 kJ/mol of atoms

The structure in Quantum ESPRESSO input format:
```
&SYSTEM
  ibrav = 0, nat = 9, ntyp = 3
/
ATOMIC_SPECIES
Cu 63.55 Cu.upf
Pm 145.00 Pm.upf
U 238.03 U.upf
ATOMIC_POSITIONS angstrom
Cu 1.582 -2.776 0.553
Cu 3.486 0.621 2.355
Cu 6.569 -1.887 3.921
Pm 1.249 0.223 0.843
Pm 4.058 -2.335 2.225
Pm 5.730 1.021 3.870
U 1.203 -1.430 3.673
U 3.530 -1.016 5.244
U 5.907 -0.592 6.849
CELL_PARAMETERS angstrom
-2.802 -0.732 4.342
2.301 -4.060 -2.336
7.025 1.252 4.745
```

---

(5)
VASP calculation (PBE) on TbGdSb2Os2O2 after structural relaxation. Values from VASP.

## Properties
Total DFT energy (no corrections): -7.672 eV per atom

The structure in Quantum ESPRESSO input format:
```
&SYSTEM
  ibrav = 0, nat = 8, ntyp = 5
/
ATOMIC_SPECIES
Gd 157.25 Gd.upf
O 16.00 O.upf
Os 190.23 Os.upf
Sb 121.76 Sb.upf
Tb 158.93 Tb.upf
ATOMIC_POSITIONS angstrom
Gd 0.000 0.000 1.020
O 2.087 0.000 8.453
O 0.000 2.087 8.453
Os 2.087 0.000 4.234
Os 0.000 2.087 4.234
Sb 2.087 2.087 2.673
Sb 0.000 0.000 5.795
Tb 2.087 2.087 7.451
CELL_PARAMETERS angstrom
4.174 0.000 0.000
0.000 4.174 0.000
0.000 0.000 8.462
```

---

(6)
VASP calculation (PBE) on BeReAsO after structural relaxation. Values from VASP.

## Properties
ΔE to the lowest computed polymorph: 98.9 kJ/mol of atoms

The structure in Quantum ESPRESSO input format:
```
&SYSTEM
  ibrav = 0, nat = 8, ntyp = 4
/
ATOMIC_SPECIES
As 74.92 As.upf
Be 9.01 Be.upf
O 16.00 O.upf
Re 186.21 Re.upf
ATOMIC_POSITIONS angstrom
As 1.824 -2.135 1.445
As 0.137 -5.657 2.513
Be 0.274 -3.327 2.741
Be 1.687 -4.465 1.218
O 0.000 0.000 0.000
O 1.412 -1.138 -1.523
Re -0.157 -2.089 -0.427
Re 2.118 -5.704 4.385
CELL_PARAMETERS angstrom
-0.483 -2.131 -2.539
3.308 -0.145 -0.507
0.548 -6.654 5.481
```

---

What did the sixth record say?
VASP calculation (PBE) on BeReAsO after structural relaxation. Values from VASP.

## Properties
ΔE to the lowest computed polymorph: 98.9 kJ/mol of atoms

The structure in Quantum ESPRESSO input format:
```
&SYSTEM
  ibrav = 0, nat = 8, ntyp = 4
/
ATOMIC_SPECIES
As 74.92 As.upf
Be 9.01 Be.upf
O 16.00 O.upf
Re 186.21 Re.upf
ATOMIC_POSITIONS angstrom
As 1.824 -2.135 1.445
As 0.137 -5.657 2.513
Be 0.274 -3.327 2.741
Be 1.687 -4.465 1.218
O 0.000 0.000 0.000
O 1.412 -1.138 -1.523
Re -0.157 -2.089 -0.427
Re 2.118 -5.704 4.385
CELL_PARAMETERS angstrom
-0.483 -2.131 -2.539
3.308 -0.145 -0.507
0.548 -6.654 5.481
```

---

Repeat the third record exactly.
VASP calculation (PBE) on LiGa2FePd4 after structural relaxation. Values from VASP.

## Properties
Total DFT energy (no corrections): -5.153 eV per atom

The structure in Quantum ESPRESSO input format:
```
&SYSTEM
  ibrav = 0, nat = 8, ntyp = 4
/
ATOMIC_SPECIES
Fe 55.84 Fe.upf
Ga 69.72 Ga.upf
Li 6.94 Li.upf
Pd 106.42 Pd.upf
ATOMIC_POSITIONS angstrom
Fe 0.000 0.000 0.000
Ga -2.282 1.922 -0.991
Ga 1.308 2.218 1.291
Li -0.974 4.140 0.301
Pd 0.318 2.345 -1.172
Pd -1.307 1.771 1.458
Pd 1.640 4.587 0.134
Pd 0.016 4.014 2.764
CELL_PARAMETERS angstrom
-0.657 2.496 -3.621
-3.907 1.349 1.639
2.616 4.436 2.583
```